Computed, not measured: an optimized crystal structure of Tb3Pr5As8 at the PBE level of DFT.

Computed properties:
- space-group type = R-3m, No. 166
- E_form (eV/atom) = -1.51

Cell lengths 8.492, 8.492, 8.491 Å; angles 60.00, 60.00, 60.00 degrees
Atoms (fractional coordinates):
As1 0.757 0.250 0.743
As2 0.243 0.750 0.257
As3 0.250 0.757 0.743
As4 0.247 0.247 0.260
As5 0.750 0.243 0.257
As6 0.753 0.753 0.740
As7 0.250 0.250 0.743
As8 0.750 0.750 0.257
Pr1 0.000 0.000 0.000
Pr2 0.500 0.000 0.000
Pr3 0.000 0.500 0.000
Pr4 0.500 0.500 0.000
Pr5 0.500 0.500 0.500
Tb1 0.000 0.500 0.500
Tb2 0.500 0.000 0.500
Tb3 0.000 0.000 0.500

Computed, not measured: an optimized crystal structure of LiPr2N at the PBE level of DFT.

Computed properties:
- space-group type = P4/mmm, No. 123
- ΔE_f (raw) (meV per atom) = -111

Cell lengths 3.211, 3.211, 8.853 Å; angles 90.00, 90.00, 90.00 degrees
Atoms (fractional coordinates):
Pr1 0.000 0.000 0.580
Pr2 0.000 0.000 0.920
N1 0.500 0.500 0.750
Li1 0.500 0.500 0.250

Computed, not measured: an optimized crystal structure of La6Te3Pb2S at the PBE level of DFT.

Computed properties:
- space-group type = C2/m, No. 12
- ΔE_f (raw) (meV per atom) = -1350

Cell lengths 4.572, 9.135, 10.224 Å; angles 103.53, 102.92, 90.00 degrees
Atoms (fractional coordinates):
La1 0.000 0.228 0.999
La2 0.668 0.580 0.335
La3 0.332 0.420 0.665
La4 0.343 0.921 0.686
La5 0.000 0.772 0.001
La6 0.657 0.079 0.314
S1 0.500 0.000 0.000
Te1 0.170 0.834 0.339
Te2 0.500 0.500 0.000
Te3 0.830 0.166 0.661
Pb1 0.836 0.671 0.672
Pb2 0.164 0.329 0.328

Computed, not measured: an optimized crystal structure of ScGaPdRh at the PBE level of DFT.

Computed properties:
- space-group type = I-4m2, No. 119
- E_form (eV/atom) = -0.90

Cell lengths 4.216, 4.216, 4.620 Å; angles 117.15, 117.15, 90.00 degrees
Atoms (fractional coordinates):
Rh1 0.250 0.750 0.500
Ga1 0.500 0.500 0.000
Sc1 0.000 0.000 0.000
Pd1 0.750 0.250 0.500

Computed, not measured: an optimized crystal structure of SrP2RuO at the PBE level of DFT.

Computed properties:
- space-group type = P4/mmm, No. 123
- ΔE_f (raw) (meV per atom) = 1396

Cell lengths 5.450, 5.450, 4.258 Å; angles 90.00, 90.00, 90.00 degrees
Atoms (fractional coordinates):
O1 0.000 0.000 0.500
P1 0.000 0.500 0.000
P2 0.500 0.000 0.000
Ru1 0.500 0.500 0.500
Sr1 0.000 0.000 0.000

Computed, not measured: an optimized crystal structure of SrMg2ZnHg5 at the PBE level of DFT.

Computed properties:
- space-group type = Immm, No. 71
- E_form (eV/atom) = -0.13

Cell lengths 5.046, 6.575, 8.420 Å; angles 112.98, 107.44, 90.00 degrees
Atoms (fractional coordinates):
Sr1 0.000 0.500 0.000
Mg1 0.811 0.811 0.621
Mg2 0.189 0.189 0.379
Zn1 0.500 0.000 0.000
Hg1 0.347 0.104 0.694
Hg2 0.000 0.000 0.000
Hg3 0.653 0.411 0.306
Hg4 0.653 0.896 0.306
Hg5 0.347 0.589 0.694

So what do the calculations give for spin magnetization? Going down the list: 0.0000; 0.2371; 0.0000; 0.0000; 0.8640; 0.0000 μB per atom.
So what do the calculations give for E_tot? Going down the list: -6.194; -5.061; -5.561; -6.371; -3.951; -0.983 eV/atom.